(1)
Crystalline RbAl at its relaxed geometry, computed with PBE-GGA.

Summary:
- Density of states at the Fermi level: 0.683 states/eV/atom
- Energy above the most stable polymorph in this dataset: 0.698 eV per atom
- Uncorrected energy: -1.4938 eV/atom
- Size of the total moment: 0.00 μB/f.u.

a = 5.2355 Å, b = 5.2355 Å, c = 5.2355 Å
α = 60.00°, β = 60.00°, γ = 60.00°
Fractional coordinates of all 2 atoms:
Rb: 0.0000 0.0000 0.0000
Al: 0.5000 0.5000 0.5000

(2)
Crystalline RbAl at its relaxed geometry, computed with PBE-GGA.

Summary:
- Density of states at the Fermi level: 0.391 states/eV/atom
- Energy above the most stable polymorph in this dataset: 0.102 eV per atom
- Uncorrected energy: -2.0898 eV/atom
- Size of the total moment: 0.00 μB/f.u.

a = 7.2599 Å, b = 7.2599 Å, c = 7.2599 Å
α = 142.19°, β = 93.82°, γ = 98.24°
Fractional coordinates of all 4 atoms:
Rb: 0.0000 0.0000 0.0000
Rb: 0.5000 0.0000 0.5000
Al: 0.4496 0.6996 0.7500
Al: 0.5504 0.3004 0.2500

(3)
Crystalline RbAl at its relaxed geometry, computed with PBE-GGA.

Summary:
- Density of states at the Fermi level: 0.475 states/eV/atom
- Energy above the most stable polymorph in this dataset: 0.066 eV per atom
- Uncorrected energy: -2.1262 eV/atom
- Size of the total moment: 0.00 μB/f.u.

a = 8.9303 Å, b = 8.9303 Å, c = 8.9303 Å
α = 150.73°, β = 55.68°, γ = 133.74°
Fractional coordinates of all 6 atoms:
Rb: 0.0000 0.0000 0.0000
Rb: 0.1025 0.3733 0.7292
Rb: 0.6441 0.3733 0.2708
Al: 0.3392 0.9268 0.4124
Al: 0.4948 0.4948 0.0000
Al: 0.5144 0.9268 0.5876

(4)
Crystalline RbAl at its relaxed geometry, computed with PBE-GGA.

Summary:
- Density of states at the Fermi level: 1.155 states/eV/atom
- Energy above the most stable polymorph in this dataset: 0.441 eV per atom
- Uncorrected energy: -1.7510 eV/atom
- Size of the total moment: 0.73 μB/f.u.

a = 7.5267 Å, b = 7.5267 Å, c = 7.4291 Å
α = 90.00°, β = 90.00°, γ = 90.00°
Fractional coordinates of all 8 atoms:
Rb: 0.1763 0.1763 0.0000
Rb: 0.3237 0.6763 0.5000
Rb: 0.6763 0.3237 0.5000
Rb: 0.8237 0.8237 0.0000
Al: 0.1191 0.1191 0.5000
Al: 0.3809 0.6191 0.0000
Al: 0.6191 0.3809 0.0000
Al: 0.8809 0.8809 0.5000

(5)
Crystalline RbAl at its relaxed geometry, computed with PBE-GGA.

Summary:
- Density of states at the Fermi level: 0.390 states/eV/atom
- Energy above the most stable polymorph in this dataset: 0.113 eV per atom
- Uncorrected energy: -2.0790 eV/atom
- Size of the total moment: 0.00 μB/f.u.

a = 13.4300 Å, b = 13.4300 Å, c = 4.6980 Å
α = 90.00°, β = 90.00°, γ = 120.00°
Fractional coordinates of all 12 atoms:
Rb: 0.2178 0.4355 0.2500
Rb: 0.2178 0.7822 0.2500
Rb: 0.4355 0.2178 0.7500
Rb: 0.5645 0.7822 0.2500
Rb: 0.7822 0.2178 0.7500
Rb: 0.7822 0.5645 0.7500
Al: 0.0407 0.5204 0.7500
Al: 0.4796 0.5204 0.7500
Al: 0.4796 0.9593 0.7500
Al: 0.5204 0.0407 0.2500
Al: 0.5204 0.4796 0.2500
Al: 0.9593 0.4796 0.2500

(6)
Crystalline RbAl at its relaxed geometry, computed with PBE-GGA.

Summary:
- Density of states at the Fermi level: 0.747 states/eV/atom
- Energy above the most stable polymorph in this dataset: 0.967 eV per atom
- Uncorrected energy: -1.2249 eV/atom
- Size of the total moment: 0.00 μB/f.u.

a = 5.8028 Å, b = 5.8028 Å, c = 5.8028 Å
α = 60.00°, β = 60.00°, γ = 60.00°
Fractional coordinates of all 2 atoms:
Rb: 0.0000 0.0000 0.0000
Al: 0.2500 0.2500 0.2500

(7)
Crystalline RbAl at its relaxed geometry, computed with PBE-GGA.

Summary:
- Density of states at the Fermi level: 0.410 states/eV/atom
- Energy above the most stable polymorph in this dataset: 0.025 eV per atom
- Uncorrected energy: -2.1667 eV/atom
- Size of the total moment: 0.00 μB/f.u.

a = 7.1467 Å, b = 7.1467 Å, c = 6.3848 Å
α = 90.00°, β = 90.00°, γ = 74.29°
Fractional coordinates of all 8 atoms:
Rb: 0.0237 0.3186 0.2500
Rb: 0.3186 0.0237 0.7500
Rb: 0.6814 0.9763 0.2500
Rb: 0.9763 0.6814 0.7500
Al: 0.2653 0.7347 0.2500
Al: 0.5000 0.5000 0.0000
Al: 0.5000 0.5000 0.5000
Al: 0.7347 0.2653 0.7500

(8)
Crystalline RbAl at its relaxed geometry, computed with PBE-GGA.

Summary:
- Density of states at the Fermi level: 1.015 states/eV/atom
- Energy above the most stable polymorph in this dataset: 0.860 eV per atom
- Uncorrected energy: -1.3320 eV/atom
- Size of the total moment: 0.00 μB/f.u.

a = 6.2942 Å, b = 6.2942 Å, c = 7.4201 Å
α = 90.00°, β = 90.00°, γ = 120.00°
Fractional coordinates of all 4 atoms:
Rb: 0.3333 0.6667 0.2500
Rb: 0.6667 0.3333 0.7500
Al: 0.3333 0.6667 0.7500
Al: 0.6667 0.3333 0.2500